# 1
A geometry-optimized CsCdCo3 structure. Source: the Alexandria database, functional GGA-PBE.

Properties
energy of formation	2.26	eV per atom

a = 4.792 Å, b = 4.792 Å, c = 4.792 Å
α = 90.00°, β = 90.00°, γ = 90.00°
Fractional positions:
1 Cs 0.000 0.000 0.000
2 Cd 0.500 0.500 0.500
3 Co 0.000 0.000 0.500
4 Co 0.000 0.500 0.000
5 Co 0.500 0.000 0.000

# 2
A geometry-optimized Nd6ZrSn10 structure. Source: the Alexandria database, functional GGA-PBE.

Properties
energy of formation	-0.56	eV per atom

a = 9.398 Å, b = 9.398 Å, c = 6.333 Å
α = 90.00°, β = 90.00°, γ = 120.00°
Fractional positions:
1 Nd 0.000 0.389 0.262
2 Nd 0.000 0.611 0.738
3 Nd 0.389 0.000 0.262
4 Nd 0.389 0.389 0.738
5 Nd 0.611 0.000 0.738
6 Nd 0.611 0.611 0.262
7 Zr 0.000 0.000 0.500
8 Sn 0.000 0.237 0.802
9 Sn 0.000 0.763 0.198
10 Sn 0.237 0.000 0.802
11 Sn 0.237 0.237 0.198
12 Sn 0.333 0.667 0.000
13 Sn 0.333 0.667 0.500
14 Sn 0.667 0.333 0.000
15 Sn 0.667 0.333 0.500
16 Sn 0.763 0.000 0.198
17 Sn 0.763 0.763 0.802

# 3
A geometry-optimized Pm6AgIr2Br3 structure. Source: the Alexandria database, functional GGA-PBE.

Properties
uncorrected formation energy	-93.9	kJ per mole of atoms

a = 7.280 Å, b = 7.280 Å, c = 8.118 Å
α = 98.54°, β = 98.54°, γ = 120.05°
Fractional positions:
1 Pm 0.076 0.433 0.800
2 Pm 0.209 0.209 0.199
3 Pm 0.433 0.076 0.800
4 Pm 0.567 0.924 0.200
5 Pm 0.791 0.791 0.801
6 Pm 0.924 0.567 0.200
7 Ag 0.500 0.500 0.000
8 Ir 0.167 0.833 0.000
9 Ir 0.833 0.167 0.000
10 Br 0.000 0.000 0.500
11 Br 0.332 0.668 0.500
12 Br 0.668 0.332 0.500

# 4
A geometry-optimized Be2AlW structure. Source: the Alexandria database, functional GGA-PBE.

Properties
energy of formation	-0.02	eV per atom

a = 4.794 Å, b = 4.794 Å, c = 4.794 Å
α = 140.31°, β = 136.53°, γ = 60.31°
Fractional positions:
1 Be 0.000 0.000 0.000
2 Be 0.793 0.293 0.500
3 Al 0.520 0.520 0.000
4 W 0.261 0.761 0.500